Model P:
The following is a PBE-GGA calculation of crystalline Hf3GaRe at its relaxed geometry, from Alexandria via LeMat-Bulk.

Crystal system: cubic
SG: No. 221
Magnetic moment in μB per formula unit: 0.00

abc: 4.825 4.825 4.825
angles: 90.00 90.00 90.00
Positions (direct):
Hf 0.000 0.000 0.500
Hf 0.000 0.500 0.000
Hf 0.500 0.000 0.000
Ga 0.000 0.000 0.000
Re 0.500 0.500 0.500


Model Q:
The following is a PBE-GGA calculation of crystalline Hf3GaRe at its relaxed geometry, from Alexandria via LeMat-Bulk.

Crystal system: cubic
SG: No. 221
Magnetic moment in μB per formula unit: 0.00

abc: 5.024 5.024 5.024
angles: 90.00 90.00 90.00
Positions (direct):
Hf 0.000 0.000 0.500
Hf 0.000 0.500 0.000
Hf 0.500 0.000 0.000
Ga 0.500 0.500 0.500
Re 0.000 0.000 0.000


Preferred: model Q; penalty for the next structure: 423 meV per atom.